No. 1
DFT (PBE-GGA) results for crystalline SmTmAu4 at its relaxed geometry.

```
SmTmAu4
1.0
-1.0391 -2.3871 -2.7143
-1.4908 -2.2898 2.5845
-7.9838 4.3400 -0.7602
Au Tm Sm
4 1 1
Direct
0.0000 0.0000 0.3402
0.5000 0.5000 0.8287
0.0000 0.0000 0.6598
0.5000 0.5000 0.1713
0.5000 0.5000 0.5000
0.0000 0.0000 0.0000
```

Results
DFT formation energy = -0.840 eV per atom
DOS at the Fermi energy = 1.3 states/eV per cell

=====

No. 2
DFT (PBE-GGA) results for crystalline K2SiPb2 at its relaxed geometry.

```
K2SiPb2
1.0
7.6083 0.0000 0.0000
0.0000 7.6083 0.0000
0.0000 0.0000 5.9459
K Pb Si
4 4 2
Direct
0.3250 0.1750 0.5000
0.8250 0.3250 0.5000
0.1750 0.6750 0.5000
0.6750 0.8250 0.5000
0.8539 0.6461 0.0000
0.6461 0.1461 0.0000
0.3539 0.8539 0.0000
0.1461 0.3539 0.0000
0.5000 0.5000 0.0000
0.0000 0.0000 0.0000
```

Results
DOS at the Fermi energy = 5.1 states/eV per cell
Formation energy from raw total energies = 0.39 eV per formula unit

=====

No. 3
DFT (PBE-GGA) results for crystalline Nd10Ho6Tm at its relaxed geometry.

```
Nd10Ho6Tm
1.0
6.9081 0.0000 0.0000
0.0000 8.5094 -4.9129
0.0000 0.0000 9.8258
Nd Ho Tm
10 6 1
Direct
0.8152 0.2739 0.0000
0.8152 0.0000 0.2739
0.1848 0.7261 0.0000
0.1848 0.0000 0.7261
0.5000 0.3333 0.6667
0.1848 0.2739 0.2739
0.5000 0.6667 0.3333
0.8152 0.7261 0.7261
0.0000 0.3333 0.6667
0.0000 0.6667 0.3333
0.6901 0.3698 0.3698
0.3099 0.0000 0.3698
0.3099 0.3698 0.0000
0.6901 0.6302 0.0000
0.3099 0.6302 0.6302
0.6901 0.0000 0.6302
0.5000 0.0000 0.0000
```

Results
DFT formation energy = 0.125 eV per atom
DOS at the Fermi energy = 24.9 states/eV per cell

=====

For each record above, in turn, the calculated V values are 129.0, 172.1, 577.6 Å³/f.u..
For each record above, in turn, the calculated raw total energy values are -27.34, -29.28, -77.48 eV/cell.